[1]
Crystalline Ac2MnAlPd6 at its relaxed geometry. Source: Alexandria via LeMat-Bulk, functional PBE.

Geometry as extended XYZ:
```
10
Lattice="-0.337 2.227 -5.517 -1.675 -7.281 -2.837 -5.925 -3.330 -4.198" Properties=species:S:1:pos:R:3 pbc="T T T"
Pd -0.763 -0.224 -4.905
Pd -7.338 -7.010 -10.474
Pd -3.420 -2.793 -4.142
Pd -0.598 -1.374 -2.079
Pd -4.517 -5.592 -8.411
Pd -7.174 -8.160 -7.648
Ac -3.915 -2.152 -7.070
Ac -4.022 -6.232 -5.483
Mn 0.000 0.000 0.000
Al -1.006 -2.527 -4.177
```

Results
The calculation puts the formation energy at -536 meV/atom.

---

[2]
Crystalline Ac2MnAlPt6 at its relaxed geometry. Source: Alexandria via LeMat-Bulk, functional PBE.

Geometry as extended XYZ:
```
10
Lattice="6.778 0.282 -1.055 0.367 6.663 -1.032 2.794 2.796 3.943" Properties=species:S:1:pos:R:3 pbc="T T T"
Al 3.573 3.473 -1.043
Mn 0.000 0.000 0.000
Ac 6.787 3.440 0.653
Ac 3.153 6.301 1.203
Pt 4.557 1.294 -0.196
Pt 3.236 3.103 1.432
Pt 6.704 6.638 0.424
Pt 4.634 4.502 3.405
Pt 5.382 8.447 2.052
Pt 5.305 5.239 -1.548
```

Results
The calculation puts the formation energy at -864 meV/atom.

---

[3]
Crystalline Ac2MnAl4Pt3 at its relaxed geometry. Source: Alexandria via LeMat-Bulk, functional PBE.

Geometry as extended XYZ:
```
10
Lattice="-1.668 -2.980 2.756 3.213 -2.790 -1.072 6.042 3.922 7.899" Properties=species:S:1:pos:R:3 pbc="T T T"
Al 3.873 0.076 2.427
Al 0.773 -2.885 0.842
Al 2.941 0.960 6.314
Al 0.000 0.000 0.000
Pt 3.021 1.961 3.949
Pt 2.382 -0.891 0.478
Pt 4.432 1.928 8.263
Ac 6.125 1.538 5.371
Ac 0.690 -0.501 3.370
Mn 3.793 -0.924 4.791
```

Results
The calculation puts the formation energy at -860 meV/atom.

---

[4]
Crystalline AcMnAlPt3 at its relaxed geometry. Source: Alexandria via LeMat-Bulk, functional PBE.

Geometry as extended XYZ:
```
12
Lattice="5.849 0.000 0.000 0.000 6.966 0.000 0.000 -3.483 6.248" Properties=species:S:1:pos:R:3 pbc="T T T"
Pt 0.000 2.062 0.000
Pt 2.925 2.062 0.000
Pt 2.925 4.905 0.000
Pt 1.462 0.000 2.393
Pt 0.000 4.905 0.000
Pt 4.387 3.483 3.855
Ac 4.387 0.000 3.472
Ac 1.462 3.483 2.776
Al 4.387 3.483 1.453
Al 1.462 0.000 4.795
Mn 4.387 0.000 0.158
Mn 1.462 3.483 6.090
```

Results
The calculation puts the formation energy at -625 meV/atom.

---

[5]
Crystalline AcAl3Mo at its relaxed geometry. Source: Alexandria via LeMat-Bulk, functional PBE.

Geometry as extended XYZ:
```
5
Lattice="4.927 0.000 0.000 0.000 4.927 0.000 0.000 0.000 4.927" Properties=species:S:1:pos:R:3 pbc="T T T"
Mo 0.000 0.000 0.000
Al 2.463 0.000 0.000
Al 0.000 2.463 0.000
Al 0.000 0.000 2.463
Ac 2.463 2.463 2.463
```

Results
The calculation puts the formation energy at -151 meV/atom.